(1)
First-principles (PBE) data for a geometry-optimized TbYInTe3 structure, as listed in the Open Quantum Materials Database.

Values from the calculation:
- Final energy: -4.8182 eV per atom
- Volume: 198.27 Å³/f.u.

Unit cell a=7.899 b=7.899 c=12.068 alpha=90.00 beta=90.00 gamma=148.22
Atoms (fractional coordinates):
Tb (0.084, 0.916, 0.750)
Tb (0.916, 0.084, 0.250)
Y (0.500, 0.500, 0.000)
Y (0.500, 0.500, 0.500)
In (0.238, 0.762, 0.250)
In (0.762, 0.238, 0.750)
Te (0.146, 0.854, 0.518)
Te (0.146, 0.854, 0.982)
Te (0.443, 0.557, 0.750)
Te (0.557, 0.443, 0.250)
Te (0.854, 0.146, 0.018)
Te (0.854, 0.146, 0.482)

(2)
First-principles (PBE) data for a geometry-optimized TbYInTe3 structure, as listed in the Open Quantum Materials Database.

Values from the calculation:
- Final energy: -4.8188 eV per atom
- Volume: 198.62 Å³/f.u.

Unit cell a=7.880 b=7.880 c=12.050 alpha=90.00 beta=90.00 gamma=147.93
Atoms (fractional coordinates):
Tb (0.000, 0.000, 0.000)
Tb (0.000, 0.000, 0.500)
Y (0.421, 0.579, 0.750)
Y (0.579, 0.421, 0.250)
In (0.258, 0.742, 0.250)
In (0.742, 0.258, 0.750)
Te (0.061, 0.939, 0.750)
Te (0.353, 0.647, 0.521)
Te (0.353, 0.647, 0.979)
Te (0.647, 0.353, 0.021)
Te (0.647, 0.353, 0.479)
Te (0.939, 0.061, 0.250)

(3)
First-principles (PBE) data for a geometry-optimized TbZnInTe3 structure, as listed in the Open Quantum Materials Database.

Values from the calculation:
- Relative energy among the computed polymorphs: 105.2 meV/atom
- Volume: 183.24 Å³/f.u.

Unit cell a=8.999 b=4.612 c=17.660 alpha=90.00 beta=90.00 gamma=90.00
Atoms (fractional coordinates):
Tb (0.246, 0.250, 0.044)
Tb (0.254, 0.750, 0.544)
Tb (0.746, 0.250, 0.456)
Tb (0.754, 0.750, 0.956)
Zn (0.134, 0.250, 0.358)
Zn (0.366, 0.750, 0.858)
Zn (0.634, 0.250, 0.142)
Zn (0.866, 0.750, 0.642)
In (0.072, 0.250, 0.783)
In (0.428, 0.750, 0.283)
In (0.572, 0.250, 0.717)
In (0.928, 0.750, 0.217)
Te (0.001, 0.250, 0.589)
Te (0.123, 0.750, 0.945)
Te (0.195, 0.250, 0.212)
Te (0.305, 0.750, 0.712)
Te (0.377, 0.250, 0.445)
Te (0.499, 0.750, 0.089)
Te (0.501, 0.250, 0.911)
Te (0.623, 0.750, 0.555)
Te (0.695, 0.250, 0.288)
Te (0.805, 0.750, 0.788)
Te (0.877, 0.250, 0.055)
Te (0.999, 0.750, 0.411)

(4)
First-principles (PBE) data for a geometry-optimized TbZnInTe3 structure, as listed in the Open Quantum Materials Database.

Values from the calculation:
- Relative energy among the computed polymorphs: 1.3 meV/atom
- Volume: 191.65 Å³/f.u.

Unit cell a=7.952 b=7.952 c=11.538 alpha=90.00 beta=90.00 gamma=148.31
Atoms (fractional coordinates):
Tb (0.000, 0.000, 0.000)
Tb (0.000, 0.000, 0.500)
Zn (0.466, 0.534, 0.750)
Zn (0.534, 0.466, 0.250)
In (0.242, 0.758, 0.250)
In (0.758, 0.242, 0.750)
Te (0.076, 0.924, 0.750)
Te (0.363, 0.637, 0.562)
Te (0.363, 0.637, 0.938)
Te (0.637, 0.363, 0.062)
Te (0.637, 0.363, 0.438)
Te (0.924, 0.076, 0.250)

(5)
First-principles (PBE) data for a geometry-optimized TbZnInTe3 structure, as listed in the Open Quantum Materials Database.

Values from the calculation:
- Relative energy among the computed polymorphs: 54.5 meV/atom
- Volume: 184.64 Å³/f.u.

Unit cell a=12.535 b=4.503 c=13.083 alpha=90.00 beta=90.00 gamma=90.00
Atoms (fractional coordinates):
Tb (0.025, 0.250, 0.183)
Tb (0.475, 0.750, 0.683)
Tb (0.525, 0.250, 0.317)
Tb (0.975, 0.750, 0.817)
Zn (0.243, 0.750, 0.301)
Zn (0.257, 0.250, 0.801)
Zn (0.743, 0.750, 0.199)
Zn (0.757, 0.250, 0.699)
In (0.181, 0.250, 0.494)
In (0.319, 0.750, 0.994)
In (0.681, 0.250, 0.006)
In (0.819, 0.750, 0.506)
Te (0.037, 0.750, 0.351)
Te (0.098, 0.250, 0.937)
Te (0.223, 0.750, 0.689)
Te (0.277, 0.250, 0.189)
Te (0.402, 0.750, 0.437)
Te (0.463, 0.250, 0.851)
Te (0.537, 0.750, 0.149)
Te (0.598, 0.250, 0.563)
Te (0.723, 0.750, 0.811)
Te (0.777, 0.250, 0.311)
Te (0.902, 0.750, 0.063)
Te (0.963, 0.250, 0.649)

(6)
First-principles (PBE) data for a geometry-optimized TbZnInTe3 structure, as listed in the Open Quantum Materials Database.

Values from the calculation:
- Relative energy among the computed polymorphs: 16.4 meV/atom
- Volume: 198.68 Å³/f.u.

Unit cell a=15.546 b=4.359 c=11.728 alpha=90.00 beta=90.00 gamma=90.00
Atoms (fractional coordinates):
Tb (0.024, 0.250, 0.159)
Tb (0.476, 0.750, 0.659)
Tb (0.524, 0.250, 0.341)
Tb (0.976, 0.750, 0.841)
Zn (0.017, 0.750, 0.399)
Zn (0.483, 0.250, 0.899)
Zn (0.517, 0.750, 0.101)
Zn (0.983, 0.250, 0.601)
In (0.240, 0.250, 0.463)
In (0.260, 0.750, 0.963)
In (0.740, 0.250, 0.037)
In (0.760, 0.750, 0.537)
Te (0.088, 0.750, 0.614)
Te (0.104, 0.250, 0.921)
Te (0.149, 0.750, 0.250)
Te (0.351, 0.250, 0.750)
Te (0.396, 0.750, 0.421)
Te (0.412, 0.250, 0.114)
Te (0.588, 0.750, 0.886)
Te (0.604, 0.250, 0.579)
Te (0.649, 0.750, 0.250)
Te (0.851, 0.250, 0.750)
Te (0.896, 0.750, 0.079)
Te (0.912, 0.250, 0.386)

(7)
First-principles (PBE) data for a geometry-optimized TbZnInTe3 structure, as listed in the Open Quantum Materials Database.

Values from the calculation:
- Relative energy among the computed polymorphs: 24.1 meV/atom
- Volume: 201.27 Å³/f.u.

Unit cell a=8.770 b=4.348 c=11.125 alpha=90.00 beta=108.39 gamma=90.00
Atoms (fractional coordinates):
Tb (0.191, 0.250, 0.143)
Tb (0.809, 0.750, 0.857)
Zn (0.421, 0.750, 0.389)
Zn (0.579, 0.250, 0.611)
In (0.236, 0.750, 0.708)
In (0.764, 0.250, 0.292)
Te (0.059, 0.250, 0.853)
Te (0.267, 0.250, 0.445)
Te (0.447, 0.750, 0.158)
Te (0.553, 0.250, 0.842)
Te (0.733, 0.750, 0.555)
Te (0.941, 0.750, 0.147)

(8)
First-principles (PBE) data for a geometry-optimized TbZnInTe3 structure, as listed in the Open Quantum Materials Database.

Values from the calculation:
- Relative energy among the computed polymorphs: 0.0 meV/atom
- Volume: 192.81 Å³/f.u.

Unit cell a=11.583 b=4.346 c=15.323 alpha=90.00 beta=90.00 gamma=90.00
Atoms (fractional coordinates):
Tb (0.015, 0.250, 0.245)
Tb (0.485, 0.750, 0.745)
Tb (0.515, 0.250, 0.255)
Tb (0.985, 0.750, 0.755)
Zn (0.239, 0.250, 0.716)
Zn (0.261, 0.750, 0.216)
Zn (0.739, 0.250, 0.784)
Zn (0.761, 0.750, 0.284)
In (0.224, 0.750, 0.507)
In (0.276, 0.250, 0.007)
In (0.724, 0.750, 0.993)
In (0.776, 0.250, 0.493)
Te (0.047, 0.250, 0.618)
Te (0.080, 0.750, 0.109)
Te (0.238, 0.750, 0.826)
Te (0.262, 0.250, 0.326)
Te (0.420, 0.250, 0.609)
Te (0.453, 0.750, 0.118)
Te (0.547, 0.250, 0.882)
Te (0.580, 0.750, 0.391)
Te (0.738, 0.750, 0.674)
Te (0.762, 0.250, 0.174)
Te (0.920, 0.250, 0.891)
Te (0.953, 0.750, 0.382)